No. 1
# Y2P3PdPt12

A geometry-optimized Y2P3PdPt12 structure (PBE-GGA, Alexandria).

The space group is R-3m (No. 166, hexagonal axes) and the conventional cell measures 8.2630, 8.2630 and 17.5615 Å, with angles of 90.00, 90.00 and 120.00 degrees. The inequivalent atoms are Y at (0.0000, 0.0000, 0.1081), P at (0.0000, 0.5000, 0.0000), Pd at (0.0000, 0.0000, 0.5000), Pt at (0.0114, 0.5057, 0.8712) and Pt at (0.0311, 0.5155, 0.3626).

The value obtained for the energy of formation from the pure elements is -0.355 eV/atom. As for the total energy: -339.7 eV per cell. The value obtained for the calculated density is 13.04 Mg/m³.

No. 2
# PuP2Pd

A geometry-optimized PuP2Pd structure (PBE-GGA, Alexandria).

The space group is P4/mmm (No. 123) and the conventional cell measures 3.799, 3.799 and 5.211 Å, with angles of 90.00, 90.00 and 90.00 degrees. The inequivalent atoms are Pu at (0.000, 0.000, 0.000), P at (0.000, 0.000, 0.500), P at (0.500, 0.500, 0.000) and Pd at (0.500, 0.500, 0.500).

The value obtained for the energy of formation from the pure elements is -0.577 eV/atom. As for the total energy: -32.7 eV per cell. The value obtained for the calculated density is 9.11 Mg/m³.

No. 3
# Pu3P3Pd

A geometry-optimized Pu3P3Pd structure (PBE-GGA, Alexandria).

The space group is P6_3/m (No. 176) and the conventional cell measures 8.1650, 8.1650 and 5.5613 Å, with angles of 90.00, 90.00 and 120.00 degrees. The inequivalent atoms are Pu at (0.0764, 0.6878, 0.2500), P at (0.0666, 0.7157, 0.7500) and Pd at (0.3333, 0.6667, 0.7500).

The value obtained for the energy of formation from the pure elements is -0.896 eV/atom. As for the total energy: -141.4 eV per cell. The value obtained for the calculated density is 9.63 Mg/m³.

No. 4
# PuP2Pd

A geometry-optimized PuP2Pd structure (PBE-GGA, Alexandria).

The space group is I4/mmm (No. 139) and the conventional cell measures 3.856, 3.856 and 18.714 Å, with angles of 90.00, 90.00 and 90.00 degrees. The inequivalent atoms are Pu at (0.000, 0.000, 0.109), P at (0.000, 0.000, 0.338), P at (0.000, 0.500, 0.000) and Pd at (0.000, 0.500, 0.250).

The value obtained for the energy of formation from the pure elements is -0.750 eV/atom. As for the total energy: -133.4 eV per cell. The value obtained for the calculated density is 9.84 Mg/m³.

No. 5
# Pu3P4Pd4

A geometry-optimized Pu3P4Pd4 structure (PBE-GGA, Alexandria).

The space group is Immm (No. 71) and the conventional cell measures 3.891, 7.514 and 13.237 Å, with angles of 90.00, 90.00 and 90.00 degrees. The inequivalent atoms are Pu at (0.000, 0.000, 0.000), Pu at (0.000, 0.500, 0.108), P at (0.000, 0.000, 0.227), P at (0.000, 0.224, 0.500) and Pd at (0.000, 0.311, 0.321).

The value obtained for the energy of formation from the pure elements is -0.881 eV/atom. As for the total energy: -190.2 eV per cell. The value obtained for the calculated density is 11.00 Mg/m³.

No. 6
# PuP2Pd

A geometry-optimized PuP2Pd structure (PBE-GGA, Alexandria).

The space group is P4/mmm (No. 123) and the conventional cell measures 4.409, 4.409 and 3.483 Å, with angles of 90.00, 90.00 and 90.00 degrees. The inequivalent atoms are Pu at (0.000, 0.000, 0.000), P at (0.000, 0.500, 0.500) and Pd at (0.500, 0.500, 0.000).

The value obtained for the energy of formation from the pure elements is -0.571 eV/atom. As for the total energy: -32.6 eV per cell. The value obtained for the calculated density is 10.11 Mg/m³.

No. 7
# Pu2P4Pd3

A geometry-optimized Pu2P4Pd3 structure (PBE-GGA, Alexandria).

The space group is Cmce (No. 64) and the conventional cell measures 5.691, 14.619 and 7.328 Å, with angles of 90.00, 90.00 and 90.00 degrees. The inequivalent atoms are Pu at (0.000, 0.109, 0.083), P at (0.000, 0.186, 0.451), P at (0.250, 0.047, 0.750), Pd at (0.000, 0.000, 0.500) and Pd at (0.250, 0.213, 0.750).

The value obtained for the energy of formation from the pure elements is -0.712 eV/atom. As for the total energy: -289.2 eV per cell. The value obtained for the calculated density is 10.14 Mg/m³.

No. 8
# PuPPd3

A geometry-optimized PuPPd3 structure (PBE-GGA, Alexandria).

The space group is Pm-3m (No. 221) and the conventional cell measures 4.615, 4.615 and 4.615 Å, with angles of 90.00, 90.00 and 90.00 degrees. The inequivalent atoms are Pu at (0.000, 0.000, 0.000), P at (0.500, 0.500, 0.500) and Pd at (0.000, 0.500, 0.500).

The value obtained for the energy of formation from the pure elements is -0.448 eV/atom. For the distance to the lowest polymorph of the same formula, the calculation gives 75.0 meV/atom. As for the total energy: -37.6 eV per cell. The value obtained for the calculated density is 10.04 Mg/m³.

Among the records above, which one has the highest energy of formation from the pure elements? Y2P3PdPt12